Compound: LaCdPb2
Source: Alexandria
Functional: PBE
Structure: relaxed

The value obtained for the formation energy is -0.35 eV per atom. The calculation puts the density of states at the Fermi level at 3.85 states/eV/f.u. The total magnetization is 0.0 μB/f.u. The calculation puts the theoretical density at 9.44 g cm⁻³.

It has space group Imm2 (No. 44), with a = 4.699 Å, b = 4.707 Å, c = 10.591 Å, α = 90.00°, β = 90.00° and γ = 90.00°. The inequivalent atoms are La at (0.000, 0.000, 0.000), Cd at (0.000, 0.500, 0.248), Pb at (0.000, 0.000, 0.495) and Pb at (0.000, 0.500, 0.748).